Entry 1:
NiBi3Cl: relaxed, GGA-PBEsol.

Output
Raw formation energy = 1120.6 meV/atom

Cell: 5.3356 5.3356 5.3356 Å, 90.00 90.00 90.00°
Atoms (fractional coordinates):
Ni 0.0000 0.0000 0.0000
Bi 0.0000 0.5000 0.5000
Bi 0.5000 0.0000 0.5000
Bi 0.5000 0.5000 0.0000
Cl 0.5000 0.5000 0.5000


Entry 2:
BeHg2Sb: relaxed, GGA-PBEsol.

Output
Raw formation energy = 492.8 meV/atom

Cell: 5.3248 5.3248 3.4203 Å, 90.00 90.00 118.28°
Atoms (fractional coordinates):
Be 0.0000 0.0000 0.0000
Hg 0.0000 0.5000 0.5000
Hg 0.5000 0.0000 0.5000
Sb 0.5000 0.5000 0.0000


Entry 3:
EuCuSn: relaxed, GGA-PBEsol.

Output
DFT formation energy = -0.444 eV per atom

Cell: 5.8182 5.8182 7.4610 Å, 127.61 127.61 44.90°
Atoms (fractional coordinates):
Eu 0.0572 0.0572 0.3185
Eu 0.9428 0.9428 0.6815
Cu 0.3501 0.3501 0.2983
Cu 0.6499 0.6499 0.7017
Sn 0.3279 0.3279 0.9018
Sn 0.6721 0.6721 0.0982


Entry 4:
Hf2ZrMo: relaxed, GGA-PBEsol.

Output
DFT formation energy = 0.103 eV per atom

Cell: 4.7740 4.7740 4.7740 Å, 60.00 60.00 60.00°
Atoms (fractional coordinates):
Hf 0.2500 0.2500 0.2500
Hf 0.7500 0.7500 0.7500
Zr 0.0000 0.0000 0.0000
Mo 0.5000 0.5000 0.5000


Entry 5:
CaCuN: relaxed, GGA-PBEsol.

Output
Raw formation energy = -534.9 meV/atom

Cell: 5.1522 5.1522 4.6306 Å, 90.00 90.00 125.56°
Atoms (fractional coordinates):
Ca 0.2083 0.7917 0.7500
Ca 0.7917 0.2083 0.2500
Cu 0.5000 0.5000 0.0000
Cu 0.5000 0.5000 0.5000
N 0.3394 0.6606 0.2500
N 0.6606 0.3394 0.7500


Entry 6:
Y2RhCl: relaxed, GGA-PBEsol.

Output
Raw formation energy = -17.6 meV/atom

Cell: 4.8588 4.8588 4.8588 Å, 60.00 60.00 60.00°
Atoms (fractional coordinates):
Y 0.0000 0.0000 0.0000
Y 0.2500 0.2500 0.2500
Rh 0.7500 0.7500 0.7500
Cl 0.5000 0.5000 0.5000


Entry 7:
CsTaRe2H: relaxed, GGA-PBEsol.

Output
Final energy = -6.840 eV per atom

Cell: 3.9204 3.9204 5.1449 Å, 90.00 90.00 90.00°
Atoms (fractional coordinates):
Cs 0.0000 0.0000 0.0000
Ta 0.5000 0.5000 0.0000
Re 0.0000 0.5000 0.5000
Re 0.5000 0.0000 0.5000
H 0.0000 0.0000 0.5000


Entry 8:
Cs2TiPb: relaxed, GGA-PBEsol.

Output
DFT formation energy = 0.977 eV per atom

Cell: 6.1104 6.1104 6.1104 Å, 60.00 60.00 60.00°
Atoms (fractional coordinates):
Cs 0.2500 0.2500 0.2500
Cs 0.7500 0.7500 0.7500
Ti 0.0000 0.0000 0.0000
Pb 0.5000 0.5000 0.5000


Entry 9:
ZnSiIr2: relaxed, GGA-PBEsol.

Output
Raw formation energy = -484.5 meV/atom

Cell: 2.8680 2.8680 6.4480 Å, 90.00 90.00 90.00°
Atoms (fractional coordinates):
Zn 0.0000 0.0000 0.0000
Si 0.0000 0.0000 0.5000
Ir 0.5000 0.5000 0.2768
Ir 0.5000 0.5000 0.7232


Entry 10:
NbAgSb2: relaxed, GGA-PBEsol.

Output
Raw formation energy = 260.4 meV/atom

Cell: 4.8893 4.8893 4.8893 Å, 60.00 60.00 60.00°
Atoms (fractional coordinates):
Nb 0.0000 0.0000 0.0000
Ag 0.5000 0.5000 0.5000
Sb 0.2500 0.2500 0.2500
Sb 0.7500 0.7500 0.7500


Entry 11:
Mg2CrFe: relaxed, GGA-PBEsol.

Output
DFT formation energy = 0.413 eV per atom

Cell: 2.7162 3.9111 5.7171 Å, 90.00 103.52 90.00°
Atoms (fractional coordinates):
Mg 0.0000 0.0000 0.0000
Mg 0.3041 0.5000 0.6935
Cr 0.7013 0.5000 0.2628
Fe 0.5789 0.0000 0.4307


Entry 12:
YScZn4: relaxed, GGA-PBEsol.

Output
DFT formation energy = -0.362 eV per atom

Cell: 5.2693 5.2693 5.2693 Å, 60.00 60.00 60.00°
Atoms (fractional coordinates):
Y 0.0000 0.0000 0.0000
Sc 0.2500 0.2500 0.2500
Zn 0.1260 0.6247 0.6247
Zn 0.6247 0.1260 0.6247
Zn 0.6247 0.6247 0.1260
Zn 0.6247 0.6247 0.6247


Entry 13:
Nb2TlBF: relaxed, GGA-PBEsol.

Output
Raw formation energy = 815.6 meV/atom

Cell: 4.1495 4.1495 4.8821 Å, 90.00 90.00 90.00°
Atoms (fractional coordinates):
Nb 0.0000 0.5000 0.0000
Nb 0.5000 0.0000 0.0000
Tl 0.0000 0.0000 0.5000
B 0.5000 0.5000 0.5000
F 0.0000 0.0000 0.0000


Entry 14:
LiYCo4: relaxed, GGA-PBEsol.

Output
DFT formation energy = -0.043 eV per atom

Cell: 4.8322 4.8322 4.8322 Å, 60.00 60.00 60.00°
Atoms (fractional coordinates):
Li 0.0000 0.0000 0.0000
Y 0.2500 0.2500 0.2500
Co 0.1232 0.6256 0.6256
Co 0.6256 0.1232 0.6256
Co 0.6256 0.6256 0.1232
Co 0.6256 0.6256 0.6256


Entry 15:
Ca2YCu: relaxed, GGA-PBEsol.

Output
DFT formation energy = 0.085 eV per atom

Cell: 6.7214 6.7214 6.7214 Å, 149.12 133.99 56.44°
Atoms (fractional coordinates):
Ca 0.1910 0.1910 0.0000
Ca 0.8090 0.8090 0.0000
Y 0.5000 0.0000 0.5000
Cu 0.0000 0.5000 0.5000


Entry 16:
Ti3HRh: relaxed, GGA-PBEsol.

Output
Final energy = -7.654 eV per atom

Cell: 3.9776 3.9776 3.9776 Å, 90.00 90.00 90.00°
Atoms (fractional coordinates):
Ti 0.0000 0.0000 0.5000
Ti 0.0000 0.5000 0.0000
Ti 0.5000 0.0000 0.0000
H 0.0000 0.0000 0.0000
Rh 0.5000 0.5000 0.5000


Entry 17:
BaAlCuTe2: relaxed, GGA-PBEsol.

Output
Raw formation energy = -461.4 meV/atom

Cell: 5.5369 5.5369 4.6601 Å, 90.00 90.00 90.00°
Atoms (fractional coordinates):
Ba 0.0000 0.0000 0.0000
Al 0.5000 0.5000 0.5000
Cu 0.5000 0.5000 0.0000
Te 0.0000 0.5000 0.5000
Te 0.5000 0.0000 0.5000


Entry 18:
HfSc2CoN: relaxed, GGA-PBEsol.

Output
Raw formation energy = 1851.7 meV/atom

Cell: 5.0967 5.0967 4.2110 Å, 90.00 90.00 90.00°
Atoms (fractional coordinates):
Hf 0.0000 0.0000 0.0000
Sc 0.0000 0.5000 0.0000
Sc 0.5000 0.0000 0.0000
Co 0.0000 0.0000 0.5000
N 0.5000 0.5000 0.5000


Entry 19:
Mn3PdN: relaxed, GGA-PBEsol.

Output
Raw formation energy = 2041.1 meV/atom

Cell: 4.7415 4.7415 4.7415 Å, 90.00 90.00 90.00°
Atoms (fractional coordinates):
Mn 0.0000 0.0000 0.5000
Mn 0.0000 0.5000 0.0000
Mn 0.5000 0.0000 0.0000
Pd 0.0000 0.0000 0.0000
N 0.5000 0.5000 0.5000


Entry 20:
Ga2NiCl8: relaxed, GGA-PBEsol.

Output
Raw formation energy = -939.5 meV/atom

Cell: 9.3534 9.3534 11.4831 Å, 126.36 126.36 49.42°
Atoms (fractional coordinates):
Ga 0.1625 0.6732 0.9672
Ga 0.3268 0.8375 0.5328
Ga 0.6732 0.1625 0.4672
Ga 0.8375 0.3268 0.0328
Ni 0.0020 0.9980 0.2500
Ni 0.9980 0.0020 0.7500
Cl 0.1357 0.1603 0.0116
Cl 0.1402 0.7129 0.3031
Cl 0.1420 0.6923 0.7752
Cl 0.1603 0.1357 0.5116
Cl 0.2871 0.8598 0.1969
Cl 0.3077 0.8580 0.7248
Cl 0.3199 0.3657 0.9411
Cl 0.3657 0.3199 0.4411
Cl 0.6343 0.6801 0.5589
Cl 0.6801 0.6343 0.0589
Cl 0.6923 0.1420 0.2752
Cl 0.7129 0.1402 0.8031
Cl 0.8397 0.8643 0.4884
Cl 0.8580 0.3077 0.2248
Cl 0.8598 0.2871 0.6969
Cl 0.8643 0.8397 0.9884